A plane-wave DFT calculation with PBE with a Hubbard U was carried out for a relaxed structure of CdNiSb2O8.

Computed properties:
- N(E_F): 8.044 states/eV/f.u.
- Energy: -4.97 eV per atom

a = 5.4648 Å, b = 5.4648 Å, c = 5.7705 Å
α = 90.00°, β = 90.00°, γ = 120.00°
Closest atoms and distances in Å follow each position.
Element x y z (fractional)
Cd1 0.0000 0.0000 0.0000  6 O 2.67, 2 Ni 2.89
Ni1 0.0000 0.0000 0.5000  6 O 2.04
Sb1 0.3333 0.6667 0.4298  7 O 2.02-2.12
Sb2 0.6667 0.3333 0.5702  7 O 2.02-2.12
O1 0.0461 0.3540 0.6607  1 Ni 2.04, 2 Sb 2.09-2.12
O2 0.3078 0.9539 0.6607  1 Ni 2.04, 2 Sb 2.09-2.12
O3 0.3333 0.6667 0.0789  1 Sb 2.02
O4 0.3540 0.3078 0.3393  1 Ni 2.04, 2 Sb 2.09-2.12
O5 0.6460 0.6922 0.6607  1 Ni 2.04, 2 Sb 2.09-2.12
O6 0.6667 0.3333 0.9211  1 Sb 2.02
O7 0.6922 0.0461 0.3393  1 Ni 2.04, 2 Sb 2.09-2.12
O8 0.9539 0.6460 0.3393  1 Ni 2.04, 2 Sb 2.09-2.12